# 1
TaHgP2: optimized geometry, PBE.

a = 6.9569 Å, b = 6.9569 Å, c = 6.9569 Å
α = 129.60°, β = 129.60°, γ = 74.05°
Last column: nearest neighbours and their distance in Å.
Atoms (fractional coordinates):
1 Ta 0.0000 0.0000 0.0000  4 P 2.41
2 Ta 0.7500 0.2500 0.5000  4 P 2.41
3 Hg 0.2500 0.7500 0.5000  4 P 2.63
4 Hg 0.5000 0.5000 0.0000  4 P 2.63
5 P 0.0929 0.6250 0.9679  2 Ta 2.41, 2 Hg 2.63
6 P 0.3750 0.3429 0.4679  2 Ta 2.41, 2 Hg 2.63
7 P 0.6571 0.1250 0.0321  2 Ta 2.41, 2 Hg 2.63
8 P 0.8750 0.9071 0.5321  2 Ta 2.41, 2 Hg 2.63

Output
density of states at the Fermi level = 5.631 states/eV/cell
formation energy = 10 kJ/mol of atoms
magnetic moment = 0.00 μB per cell
symmetry = I-42d, No. 122
E_tot = -5.64 eV per atom
ρ = 7.56 g cm⁻³

***

# 2
Cu2BiS4: optimized geometry, PBE.

a = 6.2834 Å, b = 6.2834 Å, c = 11.4647 Å
α = 90.00°, β = 90.00°, γ = 145.44°
Last column: nearest neighbours and their distance in Å.
Atoms (fractional coordinates):
1 Cu 0.1347 0.8653 0.5647  4 S 2.27-2.54
2 Cu 0.1347 0.8653 0.9353  4 S 2.27-2.54
3 Cu 0.8653 0.1347 0.0647  4 S 2.27-2.54
4 Cu 0.8653 0.1347 0.4353  4 S 2.27-2.54
5 Bi 0.3985 0.6015 0.7500  6 S 2.74-2.91
6 Bi 0.6015 0.3985 0.2500  6 S 2.74-2.91
7 S 0.0652 0.9348 0.7500  2 Cu 2.28
8 S 0.2278 0.7722 0.1075  3 Cu 2.27-2.54
9 S 0.2278 0.7722 0.3925  3 Cu 2.27-2.54
10 S 0.5000 0.5000 0.0000  4 Cu 2.58
11 S 0.5000 0.5000 0.5000  4 Cu 2.58
12 S 0.7722 0.2278 0.6075  3 Cu 2.27-2.54
13 S 0.7722 0.2278 0.8925  3 Cu 2.27-2.54
14 S 0.9348 0.0652 0.2500  2 Cu 2.28

Output
density of states at the Fermi level = 12.183 states/eV/cell
E_form (uncorrected) = -0.07 eV/atom
magnetic moment = 0.00 μB per cell
symmetry = Cmcm, No. 63
E_tot = -4.16 eV per atom
ρ = 6.01 g cm⁻³

***

# 3
AcTb6Dy2Ho: optimized geometry, PBE.

a = 8.9179 Å, b = 8.9179 Å, c = 9.5506 Å
α = 92.72°, β = 92.72°, γ = 117.76°
Last column: nearest neighbours and their distance in Å.
Atoms (fractional coordinates):
1 Ac 0.0283 0.9717 0.7500  4 Dy 3.46-3.57, 4 Tb 3.67-3.82
2 Ac 0.9717 0.0283 0.2500  4 Dy 3.46-3.57, 4 Tb 3.67-3.82
3 Tb 0.0142 0.5570 0.6822  5 Tb 3.23-3.61, 2 Dy 3.42-3.52, 1 Ho 3.50
4 Tb 0.1291 0.7500 0.0567  7 Tb 3.44-3.77, 1 Dy 3.58, 1 Ac 3.82
5 Tb 0.2500 0.8709 0.4433  7 Tb 3.44-3.77, 1 Dy 3.58, 1 Ac 3.82
6 Tb 0.2883 0.5083 0.8830  4 Tb 3.23-3.49, 3 Dy 3.26-3.43, 2 Ho 3.44-3.56
7 Tb 0.4430 0.9858 0.8178  5 Tb 3.23-3.61, 2 Dy 3.42-3.52, 1 Ho 3.50
8 Tb 0.4917 0.7117 0.6170  4 Tb 3.23-3.49, 3 Dy 3.26-3.43, 2 Ho 3.44-3.56
9 Tb 0.5083 0.2883 0.3830  4 Tb 3.23-3.49, 3 Dy 3.26-3.43, 2 Ho 3.44-3.56
10 Tb 0.5570 0.0142 0.1822  5 Tb 3.23-3.61, 2 Dy 3.42-3.52, 1 Ho 3.50
11 Tb 0.7117 0.4917 0.1170  4 Tb 3.23-3.49, 3 Dy 3.26-3.43, 2 Ho 3.44-3.56
12 Tb 0.7500 0.1291 0.5567  7 Tb 3.44-3.77, 1 Dy 3.58, 1 Ac 3.82
13 Tb 0.8709 0.2500 0.9433  7 Tb 3.44-3.77, 1 Dy 3.58, 1 Ac 3.82
14 Tb 0.9858 0.4430 0.3178  5 Tb 3.23-3.61, 2 Dy 3.42-3.52, 1 Ho 3.50
15 Dy 0.2026 0.3164 0.5481  6 Tb 3.26-3.58, 2 Ac 3.46-3.57, 1 Ho 3.57
16 Dy 0.3164 0.2026 0.0481  6 Tb 3.26-3.58, 2 Ac 3.46-3.57, 1 Ho 3.57
17 Dy 0.6836 0.7974 0.9519  6 Tb 3.26-3.58, 2 Ac 3.46-3.57, 1 Ho 3.57
18 Dy 0.7974 0.6836 0.4519  6 Tb 3.26-3.58, 2 Ac 3.46-3.57, 1 Ho 3.57
19 Ho 0.4119 0.5881 0.2500  6 Tb 3.44-3.56, 4 Dy 3.57-3.80
20 Ho 0.5881 0.4119 0.7500  6 Tb 3.44-3.56, 4 Dy 3.57-3.80

Output
density of states at the Fermi level = 29.179 states/eV/cell
formation energy = 12 kJ/mol of atoms
magnetic moment = 0.00 μB per cell
symmetry = C2/c, No. 15
E_tot = -4.44 eV per atom
ρ = 8.29 g cm⁻³

***

# 4
ZrSb2Br: optimized geometry, PBE.

a = 5.8218 Å, b = 5.8218 Å, c = 5.8218 Å
α = 134.69°, β = 134.69°, γ = 66.02°
Last column: nearest neighbours and their distance in Å.
Atoms (fractional coordinates):
1 Zr 0.0000 0.0000 0.0000  4 Br 3.17, 8 Sb 3.31
2 Sb 0.2500 0.7500 0.5000  4 Sb 3.17, 4 Br 3.31, 4 Zr 3.31
3 Sb 0.7500 0.2500 0.5000  4 Sb 3.17, 4 Br 3.31, 4 Zr 3.31
4 Br 0.5000 0.5000 0.0000  4 Zr 3.17, 8 Sb 3.31

Output
density of states at the Fermi level = 2.558 states/eV/cell
E_form (uncorrected) = -0.13 eV/atom
magnetic moment = 0.00 μB per cell
symmetry = I4/mmm, No. 139
E_tot = -4.74 eV per atom
ρ = 7.01 g cm⁻³
energy above the lowest structure with this stoichiometry = 388 meV per atom